# Cu2GeRhO6

Cu2GeRhO6 after structural relaxation (PBE, the Alexandria database).

Summary:
Its spin magnetization is 0.25 μB/atom. The value obtained for the calculated volume is 240.48 Å³/cell. The total energy comes out at -5.76 eV per atom. The symmetry is C2/c. The raw formation energy comes out at -772 meV/atom.

```
Cu2GeRhO6
1.0
-3.9827 0.0059 3.7451
-5.8964 -2.2692 -3.0380
-0.5384 -6.4612 2.6665
Cu O Ge Rh
4 12 2 2
direct
0.8222 0.6270 0.7689
0.1778 0.3730 0.2311
0.6778 0.2311 0.3730
0.3222 0.7689 0.6270
0.2947 0.2627 0.4628
0.3698 0.8529 0.3384
0.8369 0.0135 0.1866
0.2053 0.5372 0.7373
0.7947 0.4628 0.2627
0.1302 0.6616 0.1471
0.6302 0.1471 0.6616
0.7053 0.7373 0.5372
0.1631 0.9865 0.8134
0.6631 0.8134 0.9865
0.3369 0.1866 0.0135
0.8698 0.3384 0.8529
0.2500 0.2597 0.7403
0.7500 0.7403 0.2597
0.2500 0.9064 0.0936
0.7500 0.0936 0.9064
```

# CsHgBi

CsHgBi after structural relaxation (PBE, the Alexandria database).

Summary:
Its spin magnetization is 0.00 μB/atom. The value obtained for the calculated volume is 268.50 Å³/cell. The calculation puts the calculated formation energy at -6.413 kcal/mol of atoms. The total energy comes out at -1.96 eV per atom. The symmetry is I-4m2.

```
CsHgBi
1.0
5.5143 0.0000 0.0000
0.0000 5.5143 0.0000
-2.7571 -2.7571 8.8303
Hg Bi Cs
2 2 2
direct
0.6655 0.1655 0.3310
0.8345 0.3345 0.6690
0.9141 0.9141 0.8283
0.0859 0.0859 0.1717
0.2500 0.7500 0.5000
0.5000 0.5000 0.0000
```

# LaSb4Au

LaSb4Au after structural relaxation (PBE, the Alexandria database).

Summary:
Its spin magnetization is 0.00 μB/atom. The value obtained for the calculated volume is 169.53 Å³/cell. The total energy comes out at -4.28 eV per atom. The symmetry is F-43m. The raw formation energy comes out at -161 meV/atom.

```
LaSb4Au
1.0
4.7832 -0.4082 3.9430
2.2823 5.1310 2.6564
-0.8798 1.0117 6.0659
Au Sb La
1 4 1
direct
0.7500 0.7500 0.7500
0.3763 0.3763 0.3763
0.3763 0.8711 0.3763
0.8711 0.3763 0.3763
0.3763 0.3763 0.8711
0.0000 0.0000 0.0000
```

# ZnSbCl2

ZnSbCl2 after structural relaxation (PBE, the Alexandria database).

Summary:
Its spin magnetization is 0.00 μB/atom. The value obtained for the calculated volume is 112.88 Å³/cell. The energy above the most stable polymorph in this dataset comes out at 229.5 meV per atom. The total energy comes out at -2.59 eV per atom. The symmetry is C2/m. The raw formation energy comes out at -319 meV/atom.

```
ZnSbCl2
1.0
7.0657 0.7957 -0.6910
5.8944 3.9766 -0.6910
1.0114 0.3724 4.7145
Sb Cl Zn
1 2 1
direct
0.2500 0.2500 0.2500
0.1015 0.1015 0.9538
0.3985 0.3985 0.5462
0.7500 0.7500 0.7500
```

# Tm2PuSe4

Tm2PuSe4 after structural relaxation (PBE, the Alexandria database).

Summary:
Its spin magnetization is 0.81 μB/atom. The value obtained for the calculated volume is 364.52 Å³/cell. The energy above the most stable polymorph in this dataset comes out at 0.0 meV per atom. The total energy comes out at -7.05 eV per atom. The symmetry is Cmcm. The raw formation energy comes out at -1731 meV/atom.

```
Tm2PuSe4
1.0
-0.4771 3.8695 -0.9527
-0.0545 -3.5526 -5.9481
-13.5853 -1.4334 0.9806
Pu Tm Se
2 4 8
direct
0.6183 0.2366 0.7500
0.3817 0.7634 0.2500
0.1333 0.2666 0.0673
0.8667 0.7334 0.5673
0.8667 0.7334 0.9327
0.1333 0.2666 0.4327
0.2272 0.4544 0.6202
0.7728 0.5456 0.1202
0.0437 0.0875 0.2500
0.9563 0.9125 0.7500
0.2272 0.4544 0.8798
0.7728 0.5456 0.3798
0.5000 0.0000 0.5000
0.5000 0.0000 0.0000
```

# POs2Au2

POs2Au2 after structural relaxation (PBE, the Alexandria database).

Summary:
Its spin magnetization is 0.00 μB/atom. The value obtained for the calculated volume is 89.11 Å³/cell. The energy above the most stable polymorph in this dataset comes out at 802.8 meV per atom. The calculation puts the calculated formation energy at 24.877 kcal/mol of atoms. The total energy comes out at -5.81 eV per atom. The symmetry is I4/mmm.

```
POs2Au2
1.0
3.6725 0.0000 0.0000
0.0000 3.6725 0.0000
1.8362 1.8362 6.6067
P Au Os
1 2 2
direct
0.0000 0.0000 0.0000
0.7500 0.2500 0.5000
0.2500 0.7500 0.5000
0.5867 0.5867 0.8265
0.4133 0.4133 0.1735
```

# ScPIr

ScPIr after structural relaxation (PBE, the Alexandria database).

Summary:
Its spin magnetization is 0.00 μB/atom. The value obtained for the calculated volume is 137.86 Å³/cell. The calculation puts the calculated formation energy at -27.375 kcal/mol of atoms. The total energy comes out at -8.05 eV per atom. The symmetry is P-62m.

```
ScPIr
1.0
3.9246 0.0000 0.0000
0.0000 6.3687 0.0000
0.0000 -3.1844 5.5155
P Sc Ir
3 3 3
direct
0.5000 0.0000 0.0000
0.0000 0.6667 0.3333
0.0000 0.3333 0.6667
0.5000 0.0000 0.5812
0.5000 0.4188 0.4188
0.5000 0.5812 0.0000
0.0000 0.0000 0.2496
0.0000 0.7504 0.7504
0.0000 0.2496 0.0000
```

# LiOsRh2

LiOsRh2 after structural relaxation (PBE, the Alexandria database).

Summary:
Its spin magnetization is 0.00 μB/atom. The value obtained for the calculated volume is 56.73 Å³/cell. The energy above the most stable polymorph in this dataset comes out at 193.3 meV per atom. The calculation puts the calculated formation energy at 4.132 kcal/mol of atoms. The total energy comes out at -6.78 eV per atom. The symmetry is Cmmm.

```
LiOsRh2
1.0
-1.4972 -0.6557 2.1266
0.2534 -1.7850 -1.9858
7.2349 -3.4545 4.0286
Os Li Rh
1 1 2
direct
0.5000 0.5000 0.7500
0.5000 0.5000 0.2500
0.0000 0.0000 0.0040
0.0000 0.0000 0.4960
```

# Cs3HoSc2S6

Cs3HoSc2S6 after structural relaxation (PBE, the Alexandria database).

Summary:
Its spin magnetization is 0.00 μB/atom. The value obtained for the calculated volume is 326.52 Å³/cell. The total energy comes out at -5.44 eV per atom. The symmetry is C2/m. The raw formation energy comes out at -1725 meV/atom.

```
Cs3HoSc2S6
1.0
6.8665 -0.0005 0.0002
-3.4320 5.9473 0.0002
-1.1454 -1.9833 7.9959
S Sc Cs Ho
6 2 3 1
direct
0.9413 0.5968 0.8239
0.7140 0.7140 0.1752
0.5968 0.9413 0.8239
0.4032 0.0587 0.1761
0.2860 0.2860 0.8248
0.0587 0.4032 0.1761
0.3332 0.6668 0.0000
0.6668 0.3332 0.0000
0.5000 0.5000 0.5000
0.8350 0.1650 0.5000
0.1650 0.8350 0.5000
0.0000 0.0000 0.0000
```

# CeAgHg5

CeAgHg5 after structural relaxation (PBE, the Alexandria database).

Summary:
Its spin magnetization is 0.17 μB/atom. The value obtained for the calculated volume is 180.34 Å³/cell. The calculation puts the calculated formation energy at -3.929 kcal/mol of atoms. The total energy comes out at -1.64 eV per atom. The symmetry is P4/mmm.

```
CeAgHg5
1.0
4.9290 0.0000 0.0000
0.0000 4.9290 0.0000
0.0000 0.0000 7.4228
Ag Hg Ce
1 5 1
direct
0.0000 0.0000 0.5000
0.5000 0.0000 0.7112
0.0000 0.5000 0.7112
0.5000 0.0000 0.2888
0.0000 0.5000 0.2888
0.5000 0.5000 0.0000
0.0000 0.0000 0.0000
```

# KZr2Ti2O7

KZr2Ti2O7 after structural relaxation (PBE, the Alexandria database).

Summary:
Its spin magnetization is 0.00 μB/atom. The value obtained for the calculated volume is 155.94 Å³/cell. The total energy comes out at -8.58 eV per atom. The symmetry is I4/mmm. The raw formation energy comes out at -2860 meV/atom.

```
KZr2Ti2O7
1.0
-3.5510 1.2362 1.8843
-2.2421 -2.2956 -2.7191
3.3776 -6.3869 5.8615
O Zr Ti K
7 2 2 1
direct
0.8690 0.3690 0.7379
0.5000 0.5001 0.0000
0.3690 0.8690 0.7380
0.2534 0.2533 0.5068
0.6310 0.1309 0.2620
0.1310 0.6308 0.2621
0.7466 0.7465 0.4932
0.3841 0.3841 0.7682
0.6159 0.6159 0.2319
0.7500 0.2499 0.5000
0.2500 0.7499 0.5000
0.0000 0.0002 0.0000
```

# ZrTa2Al

ZrTa2Al after structural relaxation (PBE, the Alexandria database).

Summary:
Its spin magnetization is 0.00 μB/atom. The value obtained for the calculated volume is 75.49 Å³/cell. The calculation puts the calculated formation energy at -1.563 kcal/mol of atoms. The total energy comes out at -9.07 eV per atom. The symmetry is C2/m.

```
ZrTa2Al
1.0
5.2043 0.0126 0.0083
4.3370 2.8768 0.0083
0.9817 0.2973 5.0623
Zr Al Ta
1 1 2
direct
0.7500 0.7500 0.7500
0.2500 0.2500 0.2500
0.5118 0.5118 0.4812
0.9882 0.9882 0.0188
```

# LaNbV2Fe

LaNbV2Fe after structural relaxation (PBE, the Alexandria database).

Summary:
Its spin magnetization is 0.00 μB/atom. The value obtained for the calculated volume is 91.79 Å³/cell. The calculation puts the calculated formation energy at 39.434 kcal/mol of atoms. The total energy comes out at -6.63 eV per atom. The symmetry is P4/mmm.

```
LaNbV2Fe
1.0
4.5968 0.0000 0.0000
0.0000 4.3440 0.0000
0.0000 0.0000 4.5968
Nb V La Fe
1 2 1 1
direct
0.5000 0.5000 0.5000
0.5000 0.0000 0.0000
0.0000 0.0000 0.5000
0.0000 0.0000 0.0000
0.0000 0.5000 0.0000
```

# PmCuAsF

PmCuAsF after structural relaxation (PBE, the Alexandria database).

Summary:
Its spin magnetization is 0.00 μB/atom. The value obtained for the calculated volume is 133.18 Å³/cell. The total energy comes out at -5.73 eV per atom. The symmetry is P4/nmm. The raw formation energy comes out at -1885 meV/atom.

```
PmCuAsF
1.0
-3.2019 2.1181 -0.9053
-2.3017 -3.0024 1.1163
-0.1944 3.1131 7.9717
Pm Cu As F
2 2 2 2
direct
0.0000 0.5000 0.3145
0.5000 0.0000 0.6855
0.5000 0.5000 0.0000
0.0000 0.0000 0.0000
0.0000 0.5000 0.8190
0.5000 0.0000 0.1810
0.5000 0.5000 0.5000
0.0000 0.0000 0.5000
```

# ThTl3Te2O9

ThTl3Te2O9 after structural relaxation (PBE, the Alexandria database).

Summary:
Its spin magnetization is 0.00 μB/atom. The value obtained for the calculated volume is 233.12 Å³/cell. The total energy comes out at -5.78 eV per atom. The symmetry is P-3m1. The raw formation energy comes out at -1414 meV/atom.

```
ThTl3Te2O9
1.0
-2.3077 1.4617 -5.3865
5.5217 -2.4197 0.3636
-2.9206 -6.7522 -0.5811
O Te Tl Th
9 2 3 1
direct
0.3604 0.1802 0.6818
0.8198 0.1802 0.6818
0.0000 0.5000 0.0000
0.5000 0.5000 0.0000
0.1802 0.3604 0.3182
0.8198 0.6396 0.6818
0.1802 0.8198 0.3182
0.5000 0.0000 0.0000
0.6396 0.8198 0.3182
0.3333 0.6667 0.1644
0.6667 0.3333 0.8356
0.6667 0.3333 0.3177
0.3333 0.6667 0.6823
0.0000 0.0000 0.0000
0.0000 0.0000 0.5000
```

# LiCr2Tc

LiCr2Tc after structural relaxation (PBE, the Alexandria database).

Summary:
Its spin magnetization is 0.00 μB/atom. The value obtained for the calculated volume is 49.70 Å³/cell. The calculation puts the calculated formation energy at 8.122 kcal/mol of atoms. The total energy comes out at -7.53 eV per atom. The symmetry is Immm.

```
LiCr2Tc
1.0
4.8036 -0.0079 -0.0022
2.1431 4.2991 0.0022
-3.0571 -2.8194 2.4041
Li Cr Tc
1 2 1
direct
0.7500 0.2500 0.5000
0.0128 0.0128 0.0000
0.4872 0.4872 0.0000
0.2500 0.7500 0.5000
```

# PrSm5Sc2

PrSm5Sc2 after structural relaxation (PBE, the Alexandria database).

Summary:
Its spin magnetization is 0.00 μB/atom. The value obtained for the calculated volume is 511.81 Å³/cell. The energy above the most stable polymorph in this dataset comes out at 102.3 meV per atom. The calculation puts the calculated formation energy at 3.202 kcal/mol of atoms. The total energy comes out at -4.99 eV per atom. The symmetry is I4/mcm.

```
PrSm5Sc2
1.0
-6.9135 -5.0960 2.9917
5.5704 -7.1570 0.6813
2.0135 7.7255 3.9883
Sm Sc Pr
10 4 2
direct
0.9882 0.4882 0.6853
0.6970 0.1970 0.6853
0.3030 0.8030 0.3147
0.0118 0.5118 0.3147
0.0000 0.0000 0.0000
0.5118 0.3030 0.3147
0.8030 0.0118 0.3147
0.4882 0.6970 0.6853
0.1970 0.9882 0.6853
0.5000 0.5000 0.0000
0.1536 0.3464 0.0000
0.3464 0.8464 0.0000
0.6536 0.1536 0.0000
0.8464 0.6536 0.0000
0.7500 0.7500 0.5000
0.2500 0.2500 0.5000
```

# TaNi2IrAu

TaNi2IrAu after structural relaxation (PBE, the Alexandria database).

Summary:
Its spin magnetization is 0.00 μB/atom. The value obtained for the calculated volume is 96.93 Å³/cell. The calculation puts the calculated formation energy at 29.131 kcal/mol of atoms. The total energy comes out at -5.85 eV per atom. The symmetry is P4/mmm.

```
TaNi2IrAu
1.0
-1.9984 -2.7245 -2.9976
1.5698 -3.6022 2.2275
-3.9278 -0.0592 2.6723
Ni Au Ir Ta
2 1 1 1
direct
0.0000 0.5000 0.0000
0.5000 0.0000 0.0000
0.5000 0.5000 0.5000
0.0000 0.0000 0.5000
0.0000 0.0000 0.0000
```

# Ti12Bi6Mo

Ti12Bi6Mo after structural relaxation (PBE, the Alexandria database).

Summary:
Its spin magnetization is 0.00 μB/atom. The value obtained for the calculated volume is 413.46 Å³/cell. The calculation puts the calculated formation energy at 0.000 kcal/mol of atoms. The total energy comes out at -6.78 eV per atom. The symmetry is R-3.

```
Ti12Bi6Mo
1.0
8.0265 -0.8529 -1.0217
-2.0598 7.8044 -1.0217
-2.0598 -2.3999 7.4962
Ti Bi Mo
12 6 1
direct
0.2960 0.3734 0.1282
0.1099 0.7031 0.9913
0.6266 0.8718 0.7040
0.0087 0.8901 0.2969
0.1282 0.2960 0.3734
0.9913 0.1099 0.7031
0.7040 0.6266 0.8718
0.2969 0.0087 0.8901
0.8718 0.7040 0.6266
0.8901 0.2969 0.0087
0.3734 0.1282 0.2960
0.7031 0.9913 0.1099
0.3719 0.2201 0.6865
0.7799 0.3135 0.6281
0.6281 0.7799 0.3135
0.2201 0.6865 0.3719
0.3135 0.6281 0.7799
0.6865 0.3719 0.2201
0.0000 0.0000 0.0000
```

# Nd4RuRh

Nd4RuRh after structural relaxation (PBE, the Alexandria database).

Summary:
Its spin magnetization is 0.00 μB/atom. The value obtained for the calculated volume is 357.78 Å³/cell. The energy above the most stable polymorph in this dataset comes out at 73.3 meV per atom. The calculation puts the calculated formation energy at -6.690 kcal/mol of atoms. The total energy comes out at -6.24 eV per atom. The symmetry is C2/c.

```
Nd4RuRh
1.0
7.0003 -0.2811 0.0000
-1.5153 6.8728 0.0000
-2.7425 -3.2958 7.5029
Nd Rh Ru
8 2 2
direct
0.9486 0.2000 0.9049
0.2017 0.4807 0.4081
0.7064 0.9274 0.4081
0.5437 0.2951 0.0951
0.7983 0.5193 0.5919
0.2936 0.0726 0.5919
0.0514 0.8000 0.0951
0.4563 0.7049 0.9049
0.8444 0.0944 0.1888
0.1556 0.9056 0.8112
0.6624 0.4124 0.8249
0.3376 0.5876 0.1751
```

# Y7Tc

Y7Tc after structural relaxation (PBE, the Alexandria database).

Summary:
Its spin magnetization is 0.00 μB/atom. The value obtained for the calculated volume is 227.12 Å³/cell. The calculation puts the calculated formation energy at 4.985 kcal/mol of atoms. The total energy comes out at -6.74 eV per atom. The symmetry is Fm-3m.

```
Y7Tc
1.0
0.0000 4.8425 4.8425
4.8425 0.0000 4.8425
4.8425 4.8425 0.0000
Tc Y
1 7
direct
0.0000 0.0000 0.0000
0.5000 0.0000 0.5000
0.0000 0.0000 0.5000
0.5000 0.5000 0.5000
0.0000 0.5000 0.5000
0.5000 0.0000 0.0000
0.5000 0.5000 0.0000
0.0000 0.5000 0.0000
```

# Mg3OF

Mg3OF after structural relaxation (PBE, the Alexandria database).

Summary:
Its spin magnetization is 0.00 μB/atom. The value obtained for the calculated volume is 81.78 Å³/cell. The energy above the most stable polymorph in this dataset comes out at 0.0 meV per atom. The total energy comes out at -3.51 eV per atom. The symmetry is Pm-3m. The raw formation energy comes out at -1191 meV/atom.

```
Mg3OF
1.0
-3.5705 0.8888 2.3027
-1.6812 -3.8407 -1.1243
1.8073 -1.8167 3.5035
Mg O F
3 1 1
direct
0.0000 0.5000 0.0000
0.0000 0.0000 0.5000
0.5000 0.0000 0.0000
0.0000 0.0000 0.0000
0.5000 0.5000 0.5000
```

# CrIrPb2

CrIrPb2 after structural relaxation (PBE, the Alexandria database).

Summary:
Its spin magnetization is 0.72 μB/atom. The value obtained for the calculated volume is 86.81 Å³/cell. The energy above the most stable polymorph in this dataset comes out at 119.3 meV per atom. The calculation puts the calculated formation energy at 8.684 kcal/mol of atoms. The total energy comes out at -6.10 eV per atom. The symmetry is Amm2.

```
CrIrPb2
1.0
4.0311 0.0000 0.0000
0.0000 4.1499 0.0008
0.0000 2.0678 5.1898
Pb Cr Ir
2 1 1
direct
0.5000 0.2729 0.3283
0.0000 0.9759 0.9235
0.0000 0.6918 0.4923
0.5000 0.5594 0.7559
```